Sm3YSb3: optimized geometry, PBE.

```
Sm3YSb3
1.0
4.558 2.632 6.242
-4.558 2.632 6.242
0.000 -5.263 6.242
Sm Y Sb
6 2 6
Direct
0.091 0.347 0.821
0.179 0.909 0.653
0.347 0.821 0.091
0.653 0.179 0.909
0.821 0.091 0.347
0.909 0.653 0.179
0.333 0.333 0.333
0.667 0.667 0.667
0.075 0.695 0.469
0.305 0.531 0.925
0.469 0.075 0.695
0.531 0.925 0.305
0.695 0.469 0.075
0.925 0.305 0.531
```

Size of the total moment: 0.0000 μB/atom
Mass density: 6.7 g/cm3
DFT total energy: -79.21 eV per cell
Formation energy without anion corrections: -945 meV/atom
SG: No. 148



Sm3Y5Sb8: optimized geometry, PBE.

```
Sm3Y5Sb8
1.0
4.423 2.554 7.217
-4.423 2.554 7.217
0.000 -5.107 7.217
Sm Y Sb
3 5 8
Direct
0.000 0.500 0.500
0.500 0.000 0.500
0.500 0.500 0.000
0.000 0.000 0.000
0.000 0.000 0.500
0.000 0.500 0.000
0.500 0.000 0.000
0.500 0.500 0.500
0.247 0.750 0.750
0.248 0.248 0.248
0.250 0.250 0.753
0.250 0.753 0.250
0.750 0.247 0.750
0.750 0.750 0.247
0.752 0.752 0.752
0.753 0.250 0.250
```

Size of the total moment: 0.0000 μB/atom
Mass density: 6.3 g/cm3
DFT total energy: -98.15 eV per cell
Formation energy without anion corrections: -1169 meV/atom
SG: No. 166



Sm2YSb2: optimized geometry, PBE.

```
Sm2YSb2
1.0
3.698 -3.050 0.000
3.698 3.050 0.000
-2.025 0.000 6.947
Sm Y Sb
2 1 2
Direct
0.248 0.752 0.000
0.752 0.248 0.000
0.500 0.500 0.500
0.173 0.173 0.700
0.827 0.827 0.300
```

Size of the total moment: 0.0000 μB/atom
Mass density: 6.7 g/cm3
DFT total energy: -27.21 eV per cell
Formation energy without anion corrections: -612 meV/atom
SG: No. 12